A plane-wave DFT calculation with PBE was carried out for crystalline SmTl2Ge2O6 at its relaxed geometry.

Density of states at the Fermi level (states/eV/f.u.): 1.63
ΔE_f (raw) (eV per atom): -1.6609
Magnetic moment (μB/f.u.): 0.93

a = 10.5892 Å, b = 6.1673 Å, c = 7.1837 Å
α = 90.00°, β = 122.75°, γ = 90.00°
Space group C2/m (No. 12)
Asymmetric unit:
Sm (0.0000, 0.0000, 0.0000) [2 per cell]
Tl (0.2081, 0.0000, 0.6679) [4 per cell]
Ge (0.0485, 0.5000, 0.7145) [4 per cell]
O (0.0336, 0.2647, 0.2571) [8 per cell]
O (0.2432, 0.5000, 0.8467) [4 per cell]

A plane-wave DFT calculation with PBE was carried out for crystalline TaSbP2 at its relaxed geometry.

Density of states at the Fermi level (states/eV/f.u.): 1.94
ΔE_f (raw) (eV per atom): 0.0015
Magnetic moment (μB/f.u.): 0.00

a = 8.5555 Å, b = 3.3866 Å, c = 5.2796 Å
α = 90.00°, β = 94.39°, γ = 90.00°
Space group C2/m (No. 12)
Asymmetric unit:
Ta (0.0000, 0.0000, 0.0000) [2 per cell]
Sb (0.0000, 0.5000, 0.5000) [2 per cell]
P (0.2166, 0.5000, 0.1607) [4 per cell]

A plane-wave DFT calculation with PBE was carried out for crystalline Sc3Hg2Pd at its relaxed geometry.

Density of states at the Fermi level (states/eV/f.u.): 4.02
Formation energy from the elements (meV per atom): -575
Offset from the most stable computed form (meV/atom): 0
Magnetic moment (μB/f.u.): 0.00

a = 4.8437 Å, b = 14.5870 Å, c = 6.9851 Å
α = 90.00°, β = 90.00°, γ = 90.00°
Space group Cmmm (No. 65)
Asymmetric unit:
Sc (0.0000, 0.0000, 0.2426) [4 per cell]
Sc (0.0000, 0.3279, 0.2304) [8 per cell]
Hg (0.0000, 0.1670, 0.5000) [4 per cell]
Hg (0.0000, 0.5000, 0.0000) [2 per cell]
Hg (0.0000, 0.5000, 0.5000) [2 per cell]
Pd (0.0000, 0.1549, 0.0000) [4 per cell]

A plane-wave DFT calculation with PBE was carried out for crystalline Ho7Er12Pu at its relaxed geometry.

Density of states at the Fermi level (states/eV/f.u.): 35.74
Formation energy from the elements (meV per atom): 181
Offset from the most stable computed form (meV/atom): 0
Magnetic moment (μB/f.u.): 4.84

a = 14.7706 Å, b = 14.7706 Å, c = 9.8978 Å
α = 90.00°, β = 90.00°, γ = 120.00°
Space group R-3 (No. 148, hexagonal axes)
Asymmetric unit:
Ho (0.0000, 0.0000, 0.0000) [3 per cell]
Ho (0.0705, 0.8262, 0.4313) [18 per cell]
Er (0.0325, 0.7826, 0.0712) [18 per cell]
Er (0.0439, 0.8540, 0.7550) [18 per cell]
Pu (0.0000, 0.0000, 0.5000) [3 per cell]

A plane-wave DFT calculation with PBE was carried out for crystalline YZr2SnC at its relaxed geometry.

Density of states at the Fermi level (states/eV/f.u.): 3.54
Formation energy from the elements (meV per atom): -551
Magnetic moment (μB/f.u.): 0.00

a = 4.5875 Å, b = 4.5875 Å, c = 4.8751 Å
α = 90.00°, β = 90.00°, γ = 90.00°
Space group P4/mmm (No. 123)
Asymmetric unit:
Y (0.0000, 0.0000, 0.0000) [1 per cell]
Zr (0.0000, 0.5000, 0.5000) [2 per cell]
Sn (0.5000, 0.5000, 0.0000) [1 per cell]
C (0.0000, 0.0000, 0.5000) [1 per cell]

A plane-wave DFT calculation with PBE was carried out for crystalline PPtPbS2 at its relaxed geometry.

Density of states at the Fermi level (states/eV/f.u.): 1.88
ΔE_f (raw) (eV per atom): 0.2266
Offset from the most stable computed form (meV/atom): 0
Magnetic moment (μB/f.u.): 0.00

a = 5.2709 Å, b = 5.2709 Å, c = 4.4338 Å
α = 90.00°, β = 90.00°, γ = 90.00°
Space group P4/mmm (No. 123)
Asymmetric unit:
P (0.0000, 0.0000, 0.0000) [1 per cell]
Pt (0.0000, 0.0000, 0.5000) [1 per cell]
Pb (0.5000, 0.5000, 0.0000) [1 per cell]
S (0.0000, 0.5000, 0.5000) [2 per cell]

A plane-wave DFT calculation with PBE was carried out for crystalline HfCu2Br at its relaxed geometry.

Density of states at the Fermi level (states/eV/f.u.): 2.48
ΔE_f (raw) (eV per atom): 0.5561
Offset from the most stable computed form (meV/atom): 333
Magnetic moment (μB/f.u.): 0.00

a = 6.5834 Å, b = 6.5834 Å, c = 6.5834 Å
α = 90.00°, β = 90.00°, γ = 90.00°
Space group Fm-3m (No. 225)
Asymmetric unit:
Hf (0.0000, 0.0000, 0.0000) [4 per cell]
Cu (0.2500, 0.2500, 0.2500) [8 per cell]
Br (0.0000, 0.0000, 0.5000) [4 per cell]

A plane-wave DFT calculation with PBE was carried out for crystalline TaBe3Hg at its relaxed geometry.

Density of states at the Fermi level (states/eV/f.u.): 3.49
Formation energy from the elements (meV per atom): 1597
Offset from the most stable computed form (meV/atom): 353
Magnetic moment (μB/f.u.): 0.00

a = 4.5443 Å, b = 4.5443 Å, c = 4.5443 Å
α = 90.00°, β = 90.00°, γ = 90.00°
Space group Pm-3m (No. 221)
Asymmetric unit:
Ta (0.0000, 0.0000, 0.0000) [1 per cell]
Be (0.0000, 0.0000, 0.5000) [3 per cell]
Hg (0.5000, 0.5000, 0.5000) [1 per cell]

A plane-wave DFT calculation with PBE was carried out for crystalline CeNdGdAl at its relaxed geometry.

Density of states at the Fermi level (states/eV/f.u.): 7.46
Formation energy from the elements (meV per atom): -3
Magnetic moment (μB/f.u.): 7.56

a = 7.5878 Å, b = 7.5878 Å, c = 7.5878 Å
α = 90.00°, β = 90.00°, γ = 90.00°
Space group F-43m (No. 216)
Asymmetric unit:
Ce (0.0000, 0.0000, 0.0000) [4 per cell]
Nd (0.2500, 0.2500, 0.7500) [4 per cell]
Gd (0.2500, 0.2500, 0.2500) [4 per cell]
Al (0.0000, 0.0000, 0.5000) [4 per cell]

A plane-wave DFT calculation with PBE was carried out for crystalline Tm4Si6Ir7 at its relaxed geometry.

Density of states at the Fermi level (states/eV/f.u.): 7.52
ΔE_f (raw) (eV per atom): -1.0494
Magnetic moment (μB/f.u.): 0.00

a = 8.2292 Å, b = 8.2292 Å, c = 8.2292 Å
α = 90.00°, β = 90.00°, γ = 90.00°
Space group Im-3m (No. 229)
Asymmetric unit:
Tm (0.2500, 0.2500, 0.2500) [8 per cell]
Si (0.0000, 0.0000, 0.3230) [12 per cell]
Ir (0.0000, 0.0000, 0.0000) [2 per cell]
Ir (0.0000, 0.2500, 0.5000) [12 per cell]

A plane-wave DFT calculation with PBE was carried out for crystalline Ce3As4Pd2 at its relaxed geometry.

Density of states at the Fermi level (states/eV/f.u.): 9.24
Formation energy from the elements (meV per atom): -1072
Magnetic moment (μB/f.u.): 0.64

a = 13.0835 Å, b = 4.1252 Å, c = 8.7249 Å
α = 90.00°, β = 123.11°, γ = 90.00°
Space group C2/m (No. 12)
Asymmetric unit:
Ce (0.0000, 0.0000, 0.0000) [2 per cell]
Ce (0.1363, 0.5000, 0.7153) [4 per cell]
As (0.0724, 0.0000, 0.3940) [4 per cell]
As (0.1792, 0.5000, 0.0832) [4 per cell]
Pd (0.1749, 0.5000, 0.3678) [4 per cell]

A plane-wave DFT calculation with PBE was carried out for crystalline Ce4Te2Ir at its relaxed geometry.

Density of states at the Fermi level (states/eV/f.u.): 23.11
ΔE_f (raw) (eV per atom): -0.9377
Magnetic moment (μB/f.u.): 4.23

a = 8.3233 Å, b = 11.9274 Å, c = 4.3109 Å
α = 90.00°, β = 90.00°, γ = 90.00°
Space group Pbam (No. 55)
Asymmetric unit:
Ce (0.1438, 0.2103, 0.0000) [4 per cell]
Ce (0.2015, 0.9323, 0.5000) [4 per cell]
Te (0.0781, 0.6635, 0.5000) [4 per cell]
Ir (0.0000, 0.0000, 0.0000) [2 per cell]